Here is an optimized crystal structure of CdHg3 from Alexandria. Energies are from PBE. Values from VASP.

The structure in Quantum ESPRESSO input format:
```
&SYSTEM
  ibrav = 0, nat = 4, ntyp = 2
/
ATOMIC_SPECIES
Cd 112.41 Cd.upf
Hg 200.59 Hg.upf
ATOMIC_POSITIONS angstrom
Cd 0.000 0.000 0.000
Hg 0.000 0.000 2.937
Hg 0.000 2.937 0.000
Hg 2.937 0.000 0.000
CELL_PARAMETERS angstrom
5.874 0.000 0.000
0.000 5.874 0.000
0.000 0.000 5.874
```

- space group = Pm-3m (221)
- ΔE to the lowest computed polymorph (meV per atom) = 95

=====

Here is an optimized crystal structure of Cd3Hg from Alexandria. Energies are from PBE. Values from VASP.

The structure in Quantum ESPRESSO input format:
```
&SYSTEM
  ibrav = 0, nat = 8, ntyp = 2
/
ATOMIC_SPECIES
Cd 112.41 Cd.upf
Hg 200.59 Hg.upf
ATOMIC_POSITIONS angstrom
Cd 0.000 1.429 2.857
Cd 0.000 4.286 2.857
Cd 1.429 2.857 0.000
Cd 2.857 0.000 1.429
Cd 2.857 0.000 4.286
Cd 4.286 2.857 0.000
Hg 0.000 0.000 0.000
Hg 2.857 2.857 2.857
CELL_PARAMETERS angstrom
5.715 0.000 0.000
0.000 5.715 0.000
0.000 0.000 5.715
```

- space group = Pm-3n (223)

=====

Calculated values (μB per cell) of total magnetization for the records, taken in order: 0.0 0.0.
Calculated values (eV/f.u.) of energy of formation for the records, taken in order: 0.46 0.20.
Calculated values (states/eV per cell) of DOS(E_F) for the records, taken in order: 0.76 3.21.